# 1
DFT (PBE) results for GdDySc2 after structural relaxation.

The structure in POSCAR format:
```
GdDySc2
1.0
4.898 0.000 0.000
0.000 4.898 0.000
0.000 0.000 4.652
Gd Dy Sc
1 1 2
Cartesian
0.000 0.000 0.000
2.449 2.449 0.000
0.000 2.449 2.326
2.449 0.000 2.326
```

## Properties
The value obtained for the total energy is -31.14 eV/cell. The formation energy from the elements is 0.051 eV/atom. The density of states at the Fermi level comes out at 7.29 states/eV/f.u.

---

# 2
DFT (PBE) results for SbBrN2O after structural relaxation.

The structure in POSCAR format:
```
SbBrN2O
1.0
4.211 0.000 0.000
0.000 4.211 0.000
0.000 0.000 3.874
Sb Br N O
1 1 2 1
Cartesian
0.000 0.000 0.000
2.106 2.106 1.937
0.000 2.106 0.000
2.106 0.000 0.000
0.000 0.000 1.937
```

## Properties
The value obtained for the total energy is -21.66 eV/cell. The value obtained for the formation energy from raw total energies is 1.149 eV/atom. The density of states at the Fermi level comes out at 3.60 states/eV/f.u.